1.
# BeAs2Os | Alexandria via LeMat-Bulk | PBE | relaxed
data_BeAs2Os
_cell_length_a 4.754
_cell_length_b 4.754
_cell_length_c 4.754
_cell_angle_alpha 132.13
_cell_angle_beta 132.13
_cell_angle_gamma 70.03
_symmetry_space_group_name_H-M 'P 1'
_symmetry_Int_Tables_number 1
loop_
_symmetry_equiv_pos_as_xyz
'x,y,z'
loop_
_atom_site_label
_atom_site_type_symbol
_atom_site_fract_x
_atom_site_fract_y
_atom_site_fract_z
Os1 Os 0.750 0.250 0.500
As1 As 0.000 0.000 0.000
As2 As 0.250 0.750 0.500
Be1 Be 0.500 0.500 0.000
# - Total moment: 0.00 μB per formula unit
# - Energy: -5.49 eV/atom

2.
# BeAsOs | Alexandria via LeMat-Bulk | PBE | relaxed
data_BeAsOs
_cell_length_a 4.011
_cell_length_b 4.011
_cell_length_c 4.011
_cell_angle_alpha 60.00
_cell_angle_beta 60.00
_cell_angle_gamma 60.00
_symmetry_space_group_name_H-M 'P 1'
_symmetry_Int_Tables_number 1
loop_
_symmetry_equiv_pos_as_xyz
'x,y,z'
loop_
_atom_site_label
_atom_site_type_symbol
_atom_site_fract_x
_atom_site_fract_y
_atom_site_fract_z
Os1 Os 0.750 0.750 0.750
Be1 Be 0.500 0.500 0.500
As1 As 0.000 0.000 0.000
# - E above lowest polymorph: 0.223 eV/atom
# - Total moment: 0.00 μB per formula unit

3.
# Be2AsOs | Alexandria via LeMat-Bulk | PBE | relaxed
data_Be2AsOs
_cell_length_a 6.263
_cell_length_b 6.263
_cell_length_c 5.157
_cell_angle_alpha 52.61
_cell_angle_beta 52.61
_cell_angle_gamma 90.00
_symmetry_space_group_name_H-M 'P 1'
_symmetry_Int_Tables_number 1
loop_
_symmetry_equiv_pos_as_xyz
'x,y,z'
loop_
_atom_site_label
_atom_site_type_symbol
_atom_site_fract_x
_atom_site_fract_y
_atom_site_fract_z
As1 As 0.500 0.500 0.000
As2 As 0.250 0.750 0.500
Os1 Os 0.750 0.250 0.500
Os2 Os 0.000 0.000 0.000
Be1 Be 0.875 0.862 0.750
Be2 Be 0.138 0.625 0.250
Be3 Be 0.612 0.125 0.250
Be4 Be 0.375 0.388 0.750
# - Total moment: 0.99 μB per formula unit
# - Energy: -5.17 eV/atom

4.
# Be2AsOsRu | Alexandria via LeMat-Bulk | PBE | relaxed
data_Be2AsOsRu
_cell_length_a 4.185
_cell_length_b 4.599
_cell_length_c 4.185
_cell_angle_alpha 90.00
_cell_angle_beta 90.00
_cell_angle_gamma 90.00
_symmetry_space_group_name_H-M 'P 1'
_symmetry_Int_Tables_number 1
loop_
_symmetry_equiv_pos_as_xyz
'x,y,z'
loop_
_atom_site_label
_atom_site_type_symbol
_atom_site_fract_x
_atom_site_fract_y
_atom_site_fract_z
Be1 Be 0.000 0.000 0.500
Be2 Be 0.500 0.000 0.000
As1 As 0.000 0.500 0.000
Ru1 Ru 0.500 0.500 0.500
Os1 Os 0.000 0.000 0.000
# - Total moment: 1.46 μB per formula unit
# - Energy: -5.60 eV/atom

5.
# BeAsOsS2 | Alexandria via LeMat-Bulk | PBE | relaxed
data_BeAsOsS2
_cell_length_a 4.696
_cell_length_b 4.690
_cell_length_c 4.696
_cell_angle_alpha 90.00
_cell_angle_beta 90.00
_cell_angle_gamma 90.00
_symmetry_space_group_name_H-M 'P 1'
_symmetry_Int_Tables_number 1
loop_
_symmetry_equiv_pos_as_xyz
'x,y,z'
loop_
_atom_site_label
_atom_site_type_symbol
_atom_site_fract_x
_atom_site_fract_y
_atom_site_fract_z
S1 S 0.000 0.000 0.500
S2 S 0.500 0.000 0.000
Be1 Be 0.500 0.500 0.500
Os1 Os 0.000 0.500 0.000
As1 As 0.000 0.000 0.000
# - Formation energy without anion corrections: 1622.1 meV/atom
# - Total moment: 1.04 μB per formula unit

6.
# BeAsOsSe2 | Alexandria via LeMat-Bulk | PBE | relaxed
data_BeAsOsSe2
_cell_length_a 5.037
_cell_length_b 5.037
_cell_length_c 4.629
_cell_angle_alpha 90.00
_cell_angle_beta 90.00
_cell_angle_gamma 90.00
_symmetry_space_group_name_H-M 'P 1'
_symmetry_Int_Tables_number 1
loop_
_symmetry_equiv_pos_as_xyz
'x,y,z'
loop_
_atom_site_label
_atom_site_type_symbol
_atom_site_fract_x
_atom_site_fract_y
_atom_site_fract_z
Se1 Se 0.500 0.000 0.000
Se2 Se 0.000 0.500 0.000
Os1 Os 0.000 0.000 0.000
Be1 Be 0.500 0.500 0.500
As1 As 0.000 0.000 0.500
# - Formation energy without anion corrections: 1060.6 meV/atom
# - E above lowest polymorph: 0.027 eV/atom
# - Total moment: 0.00 μB per formula unit

7.
# BeAsOsSe2 | Alexandria via LeMat-Bulk | PBE | relaxed
data_BeAsOsSe2
_cell_length_a 4.471
_cell_length_b 4.471
_cell_length_c 4.211
_cell_angle_alpha 90.00
_cell_angle_beta 90.00
_cell_angle_gamma 90.00
_symmetry_space_group_name_H-M 'P 1'
_symmetry_Int_Tables_number 1
loop_
_symmetry_equiv_pos_as_xyz
'x,y,z'
loop_
_atom_site_label
_atom_site_type_symbol
_atom_site_fract_x
_atom_site_fract_y
_atom_site_fract_z
Se1 Se 0.500 0.000 0.000
Se2 Se 0.000 0.500 0.000
As1 As 0.000 0.000 0.500
Os1 Os 0.500 0.500 0.500
Be1 Be 0.000 0.000 0.000
# - Formation energy without anion corrections: 1033.5 meV/atom
# - E above lowest polymorph: 0.000 eV/atom
# - Total moment: 0.00 μB per formula unit

8.
# Be2TeAsOs | Alexandria via LeMat-Bulk | PBE | relaxed
data_Be2TeAsOs
_cell_length_a 4.032
_cell_length_b 5.698
_cell_length_c 4.032
_cell_angle_alpha 90.00
_cell_angle_beta 90.00
_cell_angle_gamma 90.00
_symmetry_space_group_name_H-M 'P 1'
_symmetry_Int_Tables_number 1
loop_
_symmetry_equiv_pos_as_xyz
'x,y,z'
loop_
_atom_site_label
_atom_site_type_symbol
_atom_site_fract_x
_atom_site_fract_y
_atom_site_fract_z
Be1 Be 0.500 0.000 0.000
Be2 Be 0.000 0.000 0.500
As1 As 0.000 0.000 0.000
Os1 Os 0.500 0.500 0.500
Te1 Te 0.000 0.500 0.000
# - Formation energy without anion corrections: 1276.6 meV/atom
# - Total moment: 0.00 μB per formula unit